VASP calculation (PBE+U) on an optimized crystal structure of YMoAuO2.

Structure (CIF):
```
data_YMoAuO2
_chemical_formula_sum 'Y1 Mo1 Au1 O2'
_symmetry_space_group_name_H-M 'P 1'
_symmetry_Int_Tables_number 1
_symmetry_space_group_name_Hall 'P 1'
_cell_length_a 4.313
_cell_length_b 4.313
_cell_length_c 5.192
_cell_angle_alpha 90.00
_cell_angle_beta 90.00
_cell_angle_gamma 90.00
loop_
_atom_site_label
_atom_site_type_symbol
_atom_site_fract_x
_atom_site_fract_y
_atom_site_fract_z
Y1 Y 0.000 0.000 0.000
Mo1 Mo 0.500 0.500 0.000
Au1 Au 0.500 0.500 0.500
O1 O 0.000 0.500 0.500
O2 O 0.500 0.000 0.500
```

Summary:
Space-group type: No. 123
Calculated total energy, eV/atom: -4.875
Mass density, g/cm³: 7.1